1.
{"formula": "Gd3Mg3ZnIr2", "functional": "PBE", "state": "optimized geometry", "lattice": [[7.412, 0.000, 0.000], [-3.706, 6.419, 0.000], [0.000, 0.000, 4.058]], "species": ["Gd", "Gd", "Gd", "Mg", "Mg", "Mg", "Zn", "Ir", "Ir"], "frac_coords": [[0.000, 0.419, 0.000], [0.419, 0.000, 0.000], [0.581, 0.581, 0.000], [0.000, 0.749, 0.500], [0.251, 0.251, 0.500], [0.749, 0.000, 0.500], [0.000, 0.000, 0.000], [0.333, 0.667, 0.500], [0.667, 0.333, 0.500]], "spacegroup": "No. 189", "volume_a3_per_cell": 193.1, "dft_energy_ev_per_atom": -4.6994}

***

2.
{"formula": "Nb3C2S", "functional": "PBE", "state": "optimized geometry", "lattice": [[3.199, 0.000, 0.000], [-1.599, 2.770, 0.000], [0.000, 0.000, 17.443]], "species": ["Nb", "Nb", "Nb", "Nb", "Nb", "Nb", "C", "C", "C", "C", "S", "S"], "frac_coords": [[0.000, 0.000, 0.000], [0.000, 0.000, 0.500], [0.333, 0.667, 0.146], [0.333, 0.667, 0.354], [0.667, 0.333, 0.646], [0.667, 0.333, 0.854], [0.333, 0.667, 0.575], [0.333, 0.667, 0.925], [0.667, 0.333, 0.075], [0.667, 0.333, 0.425], [0.000, 0.000, 0.250], [0.000, 0.000, 0.750]], "spacegroup": "No. 194", "volume_a3_per_cell": 154.6, "dft_energy_ev_per_atom": -9.4505}

***

3.
{"formula": "Er2TmZn3CuIr2", "functional": "PBE", "state": "optimized geometry", "lattice": [[3.783, 0.000, 0.000], [0.000, 6.178, 3.568], [0.000, -6.178, 3.568]], "species": ["Er", "Er", "Tm", "Zn", "Zn", "Zn", "Cu", "Ir", "Ir"], "frac_coords": [[0.000, 0.205, 0.795], [0.000, 0.795, 0.205], [0.000, 0.616, 0.616], [0.500, 0.206, 0.452], [0.500, 0.452, 0.206], [0.500, 0.958, 0.958], [0.000, 0.206, 0.206], [0.500, 0.539, 0.872], [0.500, 0.872, 0.539]], "spacegroup": "No. 38", "volume_a3_per_cell": 166.8, "ef_ev_per_atom": -0.6175}

***

4.
{"formula": "TbB4W", "functional": "PBE", "state": "optimized geometry", "lattice": [[3.167, 0.000, 0.000], [0.000, 5.446, 0.000], [0.000, 0.000, 7.060]], "species": ["Tb", "Tb", "B", "B", "B", "B", "B", "B", "B", "B", "W", "W"], "frac_coords": [[0.000, 0.000, 0.000], [0.500, 0.500, 0.500], [0.000, 0.337, 0.247], [0.000, 0.337, 0.753], [0.000, 0.663, 0.247], [0.000, 0.663, 0.753], [0.500, 0.163, 0.253], [0.500, 0.163, 0.747], [0.500, 0.837, 0.253], [0.500, 0.837, 0.747], [0.000, 0.000, 0.500], [0.500, 0.500, 0.000]], "spacegroup": "No. 71", "volume_a3_per_cell": 121.8, "e_above_lowest_polymorph_mev_per_atom": 211}

***

5.
{"formula": "ZrCoTe4", "functional": "PBE", "state": "optimized geometry", "lattice": [[1.867, -7.625, 0.000], [1.867, 7.625, 0.000], [0.000, 0.000, 11.673]], "species": ["Zr", "Zr", "Co", "Co", "Te", "Te", "Te", "Te", "Te", "Te", "Te", "Te"], "frac_coords": [[0.155, 0.845, 0.500], [0.845, 0.155, 0.000], [0.246, 0.754, 0.752], [0.754, 0.246, 0.252], [0.142, 0.858, 0.240], [0.200, 0.800, 0.958], [0.363, 0.637, 0.205], [0.486, 0.514, 0.945], [0.514, 0.486, 0.445], [0.637, 0.363, 0.705], [0.800, 0.200, 0.458], [0.858, 0.142, 0.740]], "spacegroup": "No. 36", "volume_a3_per_cell": 332.3, "dft_energy_ev_per_atom": -5.0744}

***

6.
{"formula": "Lu2Br", "functional": "PBE", "state": "optimized geometry", "lattice": [[0.000, 4.585, 4.585], [4.585, 0.000, 4.585], [4.585, 4.585, 0.000]], "species": ["Lu", "Lu", "Lu", "Lu", "Br", "Br"], "frac_coords": [[0.000, 0.000, 0.000], [0.000, 0.000, 0.500], [0.000, 0.500, 0.000], [0.500, 0.000, 0.000], [0.375, 0.375, 0.375], [0.625, 0.625, 0.625]], "spacegroup": "No. 227", "volume_a3_per_cell": 192.8, "dft_energy_ev_per_atom": -3.3994}

***

7.
{"formula": "PmCdIn2", "functional": "PBE", "state": "optimized geometry", "lattice": [[4.690, 0.000, 0.000], [0.000, 4.690, 0.000], [0.000, 0.000, 4.603]], "species": ["Pm", "Cd", "In", "In"], "frac_coords": [[0.000, 0.000, 0.000], [0.500, 0.500, 0.000], [0.000, 0.500, 0.500], [0.500, 0.000, 0.500]], "spacegroup": "No. 123", "volume_a3_per_cell": 101.2, "dft_energy_ev_per_atom": -3.2180}

***

8.
{"formula": "PrSnMo", "functional": "PBE", "state": "optimized geometry", "lattice": [[6.829, 0.000, 0.000], [0.000, 6.829, 0.000], [0.000, 0.000, 6.829]], "species": ["Pr", "Pr", "Pr", "Pr", "Sn", "Sn", "Sn", "Sn", "Mo", "Mo", "Mo", "Mo"], "frac_coords": [[0.000, 0.000, 0.000], [0.000, 0.500, 0.500], [0.500, 0.000, 0.500], [0.500, 0.500, 0.000], [0.000, 0.000, 0.500], [0.000, 0.500, 0.000], [0.500, 0.000, 0.000], [0.500, 0.500, 0.500], [0.250, 0.250, 0.250], [0.250, 0.750, 0.750], [0.750, 0.250, 0.750], [0.750, 0.750, 0.250]], "spacegroup": "No. 216", "volume_a3_per_cell": 318.5, "e_above_lowest_polymorph_mev_per_atom": 0}

***

9.
{"formula": "La4CoI5", "functional": "PBE", "state": "optimized geometry", "lattice": [[9.725, -2.225, 0.000], [9.725, 2.225, 0.000], [-2.137, 0.000, 9.118]], "species": ["La", "La", "La", "La", "Co", "I", "I", "I", "I", "I"], "frac_coords": [[0.001, 0.001, 0.284], [0.368, 0.368, 0.432], [0.632, 0.632, 0.568], [0.999, 0.999, 0.716], [0.500, 0.500, 0.500], [0.168, 0.168, 0.835], [0.174, 0.174, 0.335], [0.500, 0.500, 0.000], [0.826, 0.826, 0.665], [0.832, 0.832, 0.165]], "spacegroup": "No. 12", "volume_a3_per_cell": 394.5, "dft_energy_ev_per_atom": -4.5999}

***

10.
{"formula": "Zr4SnAsC2", "functional": "PBE", "state": "optimized geometry", "lattice": [[3.428, 0.000, 0.000], [-1.714, 2.968, 0.000], [0.000, 0.000, 13.716]], "species": ["Zr", "Zr", "Zr", "Zr", "Sn", "As", "C", "C"], "frac_coords": [[0.000, 0.000, 0.142], [0.000, 0.000, 0.858], [0.667, 0.333, 0.324], [0.667, 0.333, 0.676], [0.000, 0.000, 0.500], [0.667, 0.333, 0.000], [0.333, 0.667, 0.234], [0.333, 0.667, 0.766]], "spacegroup": "No. 187", "volume_a3_per_cell": 139.6, "dft_energy_ev_per_atom": -8.5443}

***

11.
{"formula": "B4AsPd", "functional": "PBE", "state": "optimized geometry", "lattice": [[3.062, 0.000, 0.000], [-1.531, 2.652, 0.000], [0.000, 0.000, 7.304]], "species": ["B", "B", "B", "B", "As", "Pd"], "frac_coords": [[0.333, 0.667, 0.247], [0.333, 0.667, 0.753], [0.667, 0.333, 0.247], [0.667, 0.333, 0.753], [0.000, 0.000, 0.500], [0.000, 0.000, 0.000]], "spacegroup": "No. 191", "volume_a3_per_cell": 59.3, "e_above_lowest_polymorph_mev_per_atom": 0}

***

12.
{"formula": "SrHgNO", "functional": "PBE", "state": "optimized geometry", "lattice": [[5.184, 0.000, 0.000], [0.000, 5.184, 0.000], [0.000, 0.000, 4.792]], "species": ["Sr", "Sr", "Hg", "Hg", "N", "N", "O", "O"], "frac_coords": [[0.250, 0.750, 0.000], [0.750, 0.250, 0.000], [0.250, 0.250, 0.500], [0.750, 0.750, 0.500], [0.250, 0.250, 0.001], [0.750, 0.750, 0.999], [0.250, 0.750, 0.500], [0.750, 0.250, 0.500]], "spacegroup": "No. 129", "volume_a3_per_cell": 128.8, "e_above_lowest_polymorph_mev_per_atom": 160}

***

13.
{"formula": "Ho2TmZn3NiIr2", "functional": "PBE", "state": "optimized geometry", "lattice": [[3.834, 0.000, 0.000], [0.000, 6.099, 3.534], [0.000, -6.099, 3.534]], "species": ["Ho", "Ho", "Tm", "Zn", "Zn", "Zn", "Ni", "Ir", "Ir"], "frac_coords": [[0.000, 0.204, 0.796], [0.000, 0.796, 0.204], [0.000, 0.610, 0.610], [0.500, 0.204, 0.445], [0.500, 0.445, 0.204], [0.500, 0.963, 0.963], [0.000, 0.205, 0.205], [0.500, 0.538, 0.868], [0.500, 0.868, 0.538]], "spacegroup": "No. 38", "volume_a3_per_cell": 165.2, "ef_ev_per_atom": -0.6507}

***

14.
{"formula": "Zr3Zn", "functional": "PBE", "state": "optimized geometry", "lattice": [[6.171, 0.000, 0.000], [-3.086, 5.344, 0.000], [0.000, 0.000, 5.054]], "species": ["Zr", "Zr", "Zr", "Zr", "Zr", "Zr", "Zn", "Zn"], "frac_coords": [[0.171, 0.343, 0.250], [0.171, 0.829, 0.250], [0.343, 0.171, 0.750], [0.657, 0.829, 0.250], [0.829, 0.171, 0.750], [0.829, 0.657, 0.750], [0.333, 0.667, 0.750], [0.667, 0.333, 0.250]], "spacegroup": "No. 194", "volume_a3_per_cell": 166.7, "ef_ev_per_atom": -0.0974}

***

15.
{"formula": "Sc3Ni4As4", "functional": "PBE", "state": "optimized geometry", "lattice": [[-1.955, 3.290, 6.442], [1.955, -3.290, 6.442], [1.955, 3.290, -6.442]], "species": ["Sc", "Sc", "Sc", "Ni", "Ni", "Ni", "Ni", "As", "As", "As", "As"], "frac_coords": [[0.000, 0.000, 0.000], [0.374, 0.874, 0.500], [0.626, 0.126, 0.500], [0.022, 0.325, 0.698], [0.373, 0.675, 0.698], [0.627, 0.325, 0.302], [0.978, 0.675, 0.302], [0.217, 0.217, 0.000], [0.294, 0.500, 0.794], [0.706, 0.500, 0.206], [0.783, 0.783, 0.000]], "spacegroup": "No. 71", "volume_a3_per_cell": 165.8, "e_above_lowest_polymorph_mev_per_atom": 0}

***

16.
{"formula": "SiPt2", "functional": "PBE", "state": "optimized geometry", "lattice": [[0.000, 5.205, 5.205], [5.205, 0.000, 5.205], [5.205, 5.205, 0.000]], "species": ["Si", "Si", "Pt", "Pt", "Pt", "Pt"], "frac_coords": [[0.125, 0.125, 0.125], [0.875, 0.875, 0.875], [0.000, 0.000, 0.000], [0.000, 0.000, 0.500], [0.000, 0.500, 0.000], [0.500, 0.000, 0.000]], "spacegroup": "No. 227", "volume_a3_per_cell": 282.1, "dft_energy_ev_per_atom": -4.6317}

***

17.
{"formula": "KTaAgO3", "functional": "PBE", "state": "optimized geometry", "lattice": [[11.928, 0.000, 0.000], [0.000, 3.107, 0.000], [0.000, 0.000, 10.726]], "species": ["K", "K", "K", "K", "Ta", "Ta", "Ta", "Ta", "Ag", "Ag", "Ag", "Ag", "O", "O", "O", "O", "O", "O", "O", "O", "O", "O", "O", "O"], "frac_coords": [[0.242, 0.250, 0.097], [0.258, 0.750, 0.597], [0.742, 0.250, 0.403], [0.758, 0.750, 0.903], [0.039, 0.750, 0.365], [0.461, 0.250, 0.865], [0.539, 0.750, 0.135], [0.961, 0.250, 0.635], [0.038, 0.750, 0.909], [0.462, 0.250, 0.409], [0.538, 0.750, 0.591], [0.962, 0.250, 0.091], [0.051, 0.750, 0.700], [0.092, 0.250, 0.481], [0.162, 0.750, 0.268], [0.338, 0.250, 0.768], [0.408, 0.750, 0.981], [0.449, 0.250, 0.200], [0.551, 0.750, 0.800], [0.592, 0.250, 0.019], [0.662, 0.750, 0.232], [0.838, 0.250, 0.732], [0.908, 0.750, 0.519], [0.949, 0.250, 0.300]], "spacegroup": "No. 62", "volume_a3_per_cell": 397.6, "dft_energy_ev_per_atom": -7.0313}

***

18.
{"formula": "In2Pd3S4", "functional": "PBE", "state": "optimized geometry", "lattice": [[0.000, 5.433, 11.497], [3.168, 0.000, 11.497], [3.168, 5.433, 0.000]], "species": ["In", "In", "In", "In", "Pd", "Pd", "Pd", "Pd", "Pd", "Pd", "S", "S", "S", "S", "S", "S", "S", "S"], "frac_coords": [[0.055, 0.055, 0.195], [0.195, 0.195, 0.055], [0.805, 0.805, 0.945], [0.945, 0.945, 0.805], [0.127, 0.127, 0.623], [0.375, 0.375, 0.375], [0.377, 0.377, 0.873], [0.623, 0.623, 0.127], [0.625, 0.625, 0.625], [0.873, 0.873, 0.377], [0.151, 0.466, 0.263], [0.263, 0.620, 0.151], [0.380, 0.737, 0.534], [0.466, 0.151, 0.620], [0.534, 0.849, 0.380], [0.620, 0.263, 0.466], [0.737, 0.380, 0.849], [0.849, 0.534, 0.737]], "spacegroup": "No. 70", "volume_a3_per_cell": 395.8, "dft_energy_ev_per_atom": -4.4666}

***

19.
{"formula": "LiTmGe", "functional": "PBE", "state": "optimized geometry", "lattice": [[6.992, 0.000, 0.000], [0.000, 4.324, 0.000], [0.000, 0.000, 7.591]], "species": ["Li", "Li", "Li", "Li", "Tm", "Tm", "Tm", "Tm", "Ge", "Ge", "Ge", "Ge"], "frac_coords": [[0.183, 0.250, 0.078], [0.317, 0.750, 0.578], [0.683, 0.250, 0.422], [0.817, 0.750, 0.922], [0.005, 0.250, 0.718], [0.495, 0.750, 0.218], [0.505, 0.250, 0.782], [0.995, 0.750, 0.282], [0.235, 0.750, 0.910], [0.265, 0.250, 0.410], [0.735, 0.750, 0.590], [0.765, 0.250, 0.090]], "spacegroup": "No. 62", "volume_a3_per_cell": 229.5, "dft_energy_ev_per_atom": -4.3541}

***

20.
{"formula": "ErTlGeSe3", "functional": "PBE", "state": "optimized geometry", "lattice": [[8.520, 0.000, 0.000], [0.000, 4.011, 0.000], [-3.290, 0.000, 10.464]], "species": ["Er", "Er", "Tl", "Tl", "Ge", "Ge", "Se", "Se", "Se", "Se", "Se", "Se"], "frac_coords": [[0.139, 0.250, 0.157], [0.861, 0.750, 0.843], [0.261, 0.750, 0.724], [0.739, 0.250, 0.276], [0.366, 0.750, 0.441], [0.634, 0.250, 0.559], [0.109, 0.250, 0.893], [0.159, 0.250, 0.422], [0.390, 0.750, 0.219], [0.610, 0.250, 0.781], [0.841, 0.750, 0.578], [0.891, 0.750, 0.107]], "spacegroup": "No. 11", "volume_a3_per_cell": 357.6, "e_above_lowest_polymorph_mev_per_atom": 0}